Entry w
Computed, not measured: a relaxed structure of Ti2Nb2Re at the PBE level of DFT.

Unit cell a=5.3232 b=5.3232 c=7.4762 alpha=103.07 beta=103.07 gamma=112.39
With the nearest neighbours (Å) after each atom.
Atoms (fractional coordinates):
1 Ti 0.3143 0.7091 0.6859  1 Re 2.46, 1 Ti 2.73
2 Nb 0.7594 0.7594 0.0810  2 Nb 2.67-2.81, 4 Re 2.71-2.75
3 Re 0.7667 0.2333 0.0000  2 Ti 2.46, 4 Nb 2.71-2.75
4 Ti 0.7091 0.3143 0.6859  1 Re 2.46, 1 Ti 2.73
5 Nb 0.1708 0.1708 0.4116  2 Nb 2.67-2.83, 6 Ti 2.82-2.87
6 Re 0.2333 0.7667 0.0000  2 Ti 2.46, 4 Nb 2.71-2.75
7 Ti 0.2909 0.6857 0.3141  1 Re 2.46, 1 Ti 2.73
8 Nb 0.8292 0.8292 0.5884  2 Nb 2.67-2.83, 6 Ti 2.82-2.87
9 Nb 0.2406 0.2406 0.9190  2 Nb 2.67-2.81, 4 Re 2.71-2.75
10 Ti 0.6857 0.2909 0.3141  1 Re 2.46, 1 Ti 2.73

Its calculated volume is 17.90 Å³ per atom. The density of states at the Fermi level comes out at 9.2 states/eV/cell. As for the space group: C2/m, No. 12.

---

Entry x
Computed, not measured: a relaxed structure of Ti2Nb2Re at the PBE level of DFT.

Unit cell a=6.9092 b=6.9092 c=3.6006 alpha=90.00 beta=90.00 gamma=90.00
With the nearest neighbours (Å) after each atom.
Atoms (fractional coordinates):
1 Ti 0.3603 0.8603 0.0000  6 Nb 2.61-2.79, 2 Re 2.67, 1 Ti 2.73
2 Nb 0.6671 0.8329 0.5000  6 Ti 2.61-2.79
3 Re 0.0000 0.0000 0.0000  4 Ti 2.67
4 Ti 0.1397 0.3603 0.0000  6 Nb 2.61-2.79, 2 Re 2.67, 1 Ti 2.73
5 Re 0.5000 0.5000 0.0000  4 Ti 2.67
6 Nb 0.1671 0.6671 0.5000  6 Ti 2.61-2.79
7 Nb 0.8329 0.3329 0.5000  6 Ti 2.61-2.79
8 Ti 0.6397 0.1397 0.0000  6 Nb 2.61-2.79, 2 Re 2.67, 1 Ti 2.73
9 Ti 0.8603 0.6397 0.0000  6 Nb 2.61-2.79, 2 Re 2.67, 1 Ti 2.73
10 Nb 0.3329 0.1671 0.5000  6 Ti 2.61-2.79

Its calculated volume is 17.19 Å³ per atom. The density of states at the Fermi level comes out at 6.5 states/eV/cell. As for the space group: P4/mbm, No. 127.

---

Most stable: entry w

---

Entry w
Computed, not measured: a relaxed structure of NbTlRe3 at the PBE level of DFT.

Unit cell a=4.8230 b=4.8230 c=4.8230 alpha=90.00 beta=90.00 gamma=90.00
With the nearest neighbours (Å) after each atom.
Atoms (fractional coordinates):
1 Tl 0.0000 0.0000 0.0000  6 Re 2.41
2 Re 0.0000 0.0000 0.5000  2 Tl 2.41
3 Re 0.0000 0.5000 0.0000  2 Tl 2.41
4 Nb 0.5000 0.5000 0.5000  12 Re 3.41
5 Re 0.5000 0.0000 0.0000  2 Tl 2.41

Its calculated volume is 22.44 Å³ per atom. The density of states at the Fermi level comes out at 6.8 states/eV/cell. As for the space group: Pm-3m, No. 221.

---

Entry x
Computed, not measured: a relaxed structure of NbTlRe3 at the PBE level of DFT.

Unit cell a=4.8363 b=4.8363 c=4.8363 alpha=90.00 beta=90.00 gamma=90.00
With the nearest neighbours (Å) after each atom.
Atoms (fractional coordinates):
1 Re 0.0000 0.0000 0.5000  2 Nb 2.42
2 Re 0.0000 0.5000 0.0000  2 Nb 2.42
3 Tl 0.5000 0.5000 0.5000  12 Re 3.42
4 Re 0.5000 0.0000 0.0000  2 Nb 2.42
5 Nb 0.0000 0.0000 0.0000  6 Re 2.42

Its calculated volume is 22.62 Å³ per atom. The density of states at the Fermi level comes out at 6.0 states/eV/cell. As for the space group: Pm-3m, No. 221.

---

Most stable: entry x

---

Entry w
Computed, not measured: a relaxed structure of Nb2TlRe at the PBE level of DFT.

Unit cell a=7.6597 b=7.6597 c=6.1007 alpha=51.11 beta=51.11 gamma=90.00
With the nearest neighbours (Å) after each atom.
Atoms (fractional coordinates):
1 Re 0.5000 0.5000 0.0000  4 Nb 2.54, 2 Tl 2.81
2 Nb 0.5736 0.1250 0.2500  2 Re 2.54
3 Re 0.2500 0.7500 0.5000  4 Nb 2.54, 2 Tl 2.81
4 Nb 0.1764 0.6250 0.2500  2 Re 2.54
5 Tl 0.7500 0.2500 0.5000  2 Re 2.81, 4 Nb 3.08
6 Nb 0.3750 0.4264 0.7500  2 Re 2.54
7 Tl 0.0000 0.0000 0.0000  2 Re 2.81, 4 Nb 3.08
8 Nb 0.8750 0.8236 0.7500  2 Re 2.54

Its calculated volume is 20.59 Å³ per atom. The density of states at the Fermi level comes out at 4.9 states/eV/cell. As for the space group: I-42d, No. 122.

---

Entry x
Computed, not measured: a relaxed structure of Nb2TlRe at the PBE level of DFT.

Unit cell a=4.6979 b=4.6979 c=4.6979 alpha=60.00 beta=60.00 gamma=60.00
With the nearest neighbours (Å) after each atom.
Atoms (fractional coordinates):
1 Nb 0.2500 0.2500 0.2500  4 Tl 2.88, 4 Re 2.88
2 Re 0.0000 0.0000 0.0000  8 Nb 2.88
3 Nb 0.7500 0.7500 0.7500  4 Tl 2.88, 4 Re 2.88
4 Tl 0.5000 0.5000 0.5000  8 Nb 2.88

Its calculated volume is 18.33 Å³ per atom. The density of states at the Fermi level comes out at 5.3 states/eV/cell. As for the space group: Fm-3m, No. 225.

---

Most stable: entry x

---

Entry w
Computed, not measured: a relaxed structure of UNb2Re at the PBE level of DFT.

Unit cell a=3.2129 b=4.7562 c=4.7562 alpha=90.00 beta=90.00 gamma=90.00
With the nearest neighbours (Å) after each atom.
Atoms (fractional coordinates):
1 U 0.5000 0.5000 0.5000  8 Nb 2.87, 2 U 3.21
2 Nb 0.0000 0.0000 0.5000  4 Re 2.87, 4 U 2.87, 2 Nb 3.21
3 Nb 0.0000 0.5000 0.0000  4 Re 2.87, 4 U 2.87, 2 Nb 3.21
4 Re 0.5000 0.0000 0.0000  8 Nb 2.87, 2 Re 3.21

Its calculated volume is 18.17 Å³ per atom. The density of states at the Fermi level comes out at 7.1 states/eV/cell. As for the space group: P4/mmm, No. 123.

---

Entry x
Computed, not measured: a relaxed structure of UNb2Re at the PBE level of DFT.

Unit cell a=3.3046 b=3.3046 c=6.6365 alpha=90.00 beta=90.00 gamma=90.00
With the nearest neighbours (Å) after each atom.
Atoms (fractional coordinates):
1 Nb 0.0000 0.0000 0.2393  4 Re 2.83, 4 U 2.91
2 U 0.5000 0.5000 0.5000  8 Nb 2.91
3 Nb 0.0000 0.0000 0.7607  4 Re 2.83, 4 U 2.91
4 Re 0.5000 0.5000 0.0000  8 Nb 2.83

Its calculated volume is 18.12 Å³ per atom. The density of states at the Fermi level comes out at 5.8 states/eV/cell. As for the space group: P4/mmm, No. 123.

---

Entry y
Computed, not measured: a relaxed structure of UNb2Re at the PBE level of DFT.

Unit cell a=4.6673 b=4.6673 c=4.6673 alpha=60.00 beta=60.00 gamma=60.00
With the nearest neighbours (Å) after each atom.
Atoms (fractional coordinates):
1 Nb 0.2500 0.2500 0.2500  4 U 2.86, 4 Re 2.86
2 Nb 0.7500 0.7500 0.7500  4 Re 2.86, 4 U 2.86
3 U 0.0000 0.0000 0.0000  8 Nb 2.86
4 Re 0.5000 0.5000 0.5000  8 Nb 2.86

Its calculated volume is 17.97 Å³ per atom. The density of states at the Fermi level comes out at 2.9 states/eV/cell. As for the space group: Fm-3m, No. 225.

---

Most stable: entry y